i | ! CeBr2F (PBE, optimized geometry); values from VASP
! Volume = 115.5 Å³/cell
! Density = 4.59 g cm⁻³
! N(E_F) = 7.89 states/eV/cell
! Size of the total moment = 1.0 μB per cell
&SYSTEM
  ibrav = 0, nat = 4, ntyp = 3
/
ATOMIC_SPECIES
Br 79.90 Br.upf
F 19.00 F.upf
Ce 140.12 Ce.upf
ATOMIC_POSITIONS angstrom
Br -0.2957 -1.6334 3.2499
Br 1.9467 -2.5964 6.3343
F -1.0987 -3.0901 5.8875
Ce -3.0233 -4.0650 6.9821
CELL_PARAMETERS angstrom
-3.3169 0.3846 2.5322
-2.4569 -3.3102 0.7534
2.4759 -2.7986 7.0102



ii | ! CeBr2F (PBE, optimized geometry); values from VASP
! Volume = 203.4 Å³/cell
! Density = 5.21 g cm⁻³
! N(E_F) = 15.05 states/eV/cell
! Size of the total moment = 2.0 μB per cell
&SYSTEM
  ibrav = 0, nat = 8, ntyp = 3
/
ATOMIC_SPECIES
Ce 140.12 Ce.upf
Br 79.90 Br.upf
F 19.00 F.upf
ATOMIC_POSITIONS angstrom
Ce 3.6846 -2.8566 2.2177
Br 1.7914 -0.4173 3.6166
F 2.6103 -4.8633 -1.8008
Br 0.8293 -2.4800 1.0167
Br 1.7824 -5.3300 2.1850
Ce 1.6566 0.7301 0.4296
Br 3.5499 -1.7092 -0.9694
F 0.0015 -2.9466 5.0025
CELL_PARAMETERS angstrom
-0.4526 -2.6130 6.1868
3.0644 -5.1969 -2.9851
2.7295 5.6834 -0.5545



Tell me which of them is the most stable. Sure, it is i.



i | ! Ce4Ge2Br3 (PBE, optimized geometry); values from VASP
! Volume = 249.2 Å³/cell
! Density = 6.30 g cm⁻³
! N(E_F) = 23.83 states/eV/cell
! Size of the total moment = 4.2 μB per cell
&SYSTEM
  ibrav = 0, nat = 9, ntyp = 3
/
ATOMIC_SPECIES
Br 79.90 Br.upf
Ce 140.12 Ce.upf
Ge 72.64 Ge.upf
ATOMIC_POSITIONS angstrom
Br -4.4341 -2.5100 -0.3345
Ce -1.2791 -2.5104 -0.7514
Ce -8.7223 -3.3671 3.5263
Br 0.0000 0.0000 0.0000
Ge -8.5221 -2.9844 0.5405
Ce -3.2986 -4.9976 1.2684
Br -5.5672 -3.3674 3.1093
Ge -1.4792 -2.8930 2.2344
Ce -6.7028 -0.8799 1.5065
CELL_PARAMETERS angstrom
-0.4698 -2.5037 -3.5529
0.8890 -3.1818 4.8144
-10.4205 -0.1919 1.5133



ii | ! Ce4Ge2Br3 (PBE, optimized geometry); values from VASP
! Volume = 280.0 Å³/cell
! Density = 5.61 g cm⁻³
! N(E_F) = 23.96 states/eV/cell
! Size of the total moment = 3.7 μB per cell
&SYSTEM
  ibrav = 0, nat = 9, ntyp = 3
/
ATOMIC_SPECIES
Ge 72.64 Ge.upf
Ce 140.12 Ce.upf
Br 79.90 Br.upf
ATOMIC_POSITIONS angstrom
Ge -2.9389 -2.6298 1.5878
Ce -3.0321 -0.4000 -0.3647
Ce -7.8128 -5.7129 8.8817
Br -7.7987 -3.4644 6.8137
Ce -6.4341 1.2441 1.2569
Ge -11.3080 -1.8390 8.5509
Br 0.0000 0.0000 0.0000
Br -6.4482 -1.0044 3.3250
Ce -11.2149 -4.0688 10.5034
CELL_PARAMETERS angstrom
-2.9896 1.8541 -2.4640
0.5797 -4.2527 -0.1602
-11.8370 -2.0703 12.7629



Tell me which of them is the most stable. Sure, it is ii.



i | ! LaCeGeBr (PBE, optimized geometry); values from VASP
! Volume = 103.8 Å³/cell
! Density = 6.90 g cm⁻³
! N(E_F) = 6.94 states/eV/cell
! Size of the total moment = 1.4 μB per cell
&SYSTEM
  ibrav = 0, nat = 4, ntyp = 4
/
ATOMIC_SPECIES
Ce 140.12 Ce.upf
Ge 72.64 Ge.upf
Br 79.90 Br.upf
La 138.91 La.upf
ATOMIC_POSITIONS angstrom
Ce -8.4559 4.3391 -1.8973
Ge 0.0000 0.0000 0.0000
Br -5.6372 2.8927 -1.2649
La -2.8186 1.4464 -0.6324
CELL_PARAMETERS angstrom
-3.1336 4.0579 1.2430
-2.9005 2.3343 -3.7375
-5.2404 -0.6067 -0.0352



ii | ! LaCeGeBr (PBE, optimized geometry); values from VASP
! Volume = 136.8 Å³/cell
! Density = 5.24 g cm⁻³
! N(E_F) = 8.68 states/eV/cell
! Size of the total moment = 1.1 μB per cell
&SYSTEM
  ibrav = 0, nat = 4, ntyp = 4
/
ATOMIC_SPECIES
Ge 72.64 Ge.upf
Br 79.90 Br.upf
Ce 140.12 Ce.upf
La 138.91 La.upf
ATOMIC_POSITIONS angstrom
Ge 0.0000 1.5233 0.0000
Br 2.3458 3.3806 3.0245
Ce 2.3458 3.3519 0.0000
La 0.0000 1.5067 3.0245
CELL_PARAMETERS angstrom
4.6916 0.0000 0.0000
-2.3458 4.8217 0.0000
0.0000 0.0000 6.0490



Tell me which of them is the most stable. Sure, it is i.



i | ! Ce2HBr (PBE, optimized geometry); values from VASP
! Volume = 86.2 Å³/cell
! Density = 6.95 g cm⁻³
! N(E_F) = 8.56 states/eV/cell
! Size of the total moment = 2.3 μB per cell
&SYSTEM
  ibrav = 0, nat = 4, ntyp = 3
/
ATOMIC_SPECIES
Ce 140.12 Ce.upf
Br 79.90 Br.upf
H 1.01 H.upf
ATOMIC_POSITIONS angstrom
Ce -2.5357 0.1094 -0.2221
Br -5.5986 0.9979 -0.3471
Ce -5.1812 4.0180 0.2647
H -9.4206 3.0078 -0.3325
CELL_PARAMETERS angstrom
-2.3966 -1.3335 -2.3172
-2.7328 -1.9986 1.1950
-6.0168 5.2525 0.4185



ii | ! Ce2HBr (PBE, optimized geometry); values from VASP
! Volume = 86.7 Å³/cell
! Density = 6.92 g cm⁻³
! N(E_F) = 9.28 states/eV/cell
! Size of the total moment = 2.1 μB per cell
&SYSTEM
  ibrav = 0, nat = 4, ntyp = 3
/
ATOMIC_SPECIES
H 1.01 H.upf
Br 79.90 Br.upf
Ce 140.12 Ce.upf
ATOMIC_POSITIONS angstrom
H 0.0000 0.0000 0.0000
Br -4.8717 -1.8538 -2.1913
Ce -2.1734 -0.5854 -1.2012
Ce -7.5700 -3.1223 -3.1814
CELL_PARAMETERS angstrom
-2.8935 1.8620 -1.1701
-1.0500 -0.2649 -3.4693
-5.7999 -5.3047 0.2568



Tell me which of them is the most stable. Sure, it is ii.



i | ! CeHgBr (PBE, optimized geometry); values from VASP
! Volume = 344.2 Å³/cell
! Density = 8.12 g cm⁻³
! N(E_F) = 30.26 states/eV/cell
! Size of the total moment = 5.2 μB per cell
&SYSTEM
  ibrav = 0, nat = 12, ntyp = 3
/
ATOMIC_SPECIES
Ce 140.12 Ce.upf
Br 79.90 Br.upf
Hg 200.59 Hg.upf
ATOMIC_POSITIONS angstrom
Ce -9.0066 -5.1403 1.3744
Ce -6.6876 -2.3815 -1.2522
Ce -1.9605 -1.6632 0.2001
Br -6.2523 -4.8553 0.5741
Br -2.0742 -6.0845 3.6517
Br -8.8930 -0.7191 -2.0772
Ce -4.2795 -4.4221 2.8267
Hg -7.1868 -5.4693 4.2500
Hg -3.7803 -1.3343 -2.6755
Hg -8.4430 -1.7175 1.6056
Hg -2.5241 -5.0861 -0.0311
Br -4.7148 -1.9483 1.0003
CELL_PARAMETERS angstrom
-0.7678 -2.8303 -3.6509
-1.7792 -6.3117 5.2674
-8.4202 2.3384 -0.0420



ii | ! CeHgBr (PBE, optimized geometry); values from VASP
! Volume = 201.6 Å³/cell
! Density = 6.93 g cm⁻³
! N(E_F) = 14.96 states/eV/cell
! Size of the total moment = 2.1 μB per cell
&SYSTEM
  ibrav = 0, nat = 6, ntyp = 3
/
ATOMIC_SPECIES
Hg 200.59 Hg.upf
Br 79.90 Br.upf
Ce 140.12 Ce.upf
ATOMIC_POSITIONS angstrom
Hg -1.7484 5.2904 1.2549
Hg -3.6548 7.1726 0.3414
Br -3.9540 3.7858 -1.9639
Br -1.4492 8.6771 3.5602
Ce 0.1019 2.7961 1.7497
Ce -5.5051 9.6669 -0.1533
CELL_PARAMETERS angstrom
-1.3875 2.5835 -3.6066
-4.5258 0.8433 -0.6428
0.5101 9.0362 5.8456



Tell me which of them is the most stable. Sure, it is ii.



i | ! CeHoBr6 (PBE, optimized geometry); values from VASP
! Volume = 319.4 Å³/cell
! Density = 4.08 g cm⁻³
! N(E_F) = 7.98 states/eV/cell
! Size of the total moment = 1.0 μB per cell
&SYSTEM
  ibrav = 0, nat = 8, ntyp = 3
/
ATOMIC_SPECIES
Br 79.90 Br.upf
Ho 164.93 Ho.upf
Ce 140.12 Ce.upf
ATOMIC_POSITIONS angstrom
Br 2.5816 0.6663 1.2329
Ho 1.7082 3.0609 2.4018
Br 4.2048 3.5749 3.5707
Br -0.7884 2.5469 1.2329
Br 2.4900 4.4618 0.1166
Ce 0.0000 0.0000 0.0000
Br 0.8348 5.4555 3.5707
Br 0.9264 1.6600 4.6870
CELL_PARAMETERS angstrom
7.3959 -0.2718 -1.1496
-4.1145 6.1517 -1.1496
0.1350 0.2419 7.1028



ii | ! CeHoBr6 (PBE, optimized geometry); values from VASP
! Volume = 292.5 Å³/cell
! Density = 4.45 g cm⁻³
! N(E_F) = 8.34 states/eV/cell
! Size of the total moment = 1.0 μB per cell
&SYSTEM
  ibrav = 0, nat = 8, ntyp = 3
/
ATOMIC_SPECIES
Ho 164.93 Ho.upf
Br 79.90 Br.upf
Ce 140.12 Ce.upf
ATOMIC_POSITIONS angstrom
Ho 7.1714 4.1497 3.2920
Br 9.4730 4.1946 1.6942
Br 6.0612 2.1398 1.6860
Br 8.2816 6.1596 4.8980
Br 8.3569 2.1784 4.8924
Ce 0.0000 0.0000 0.0000
Br 5.9860 6.1210 1.6915
Br 4.8699 4.1048 4.8897
CELL_PARAMETERS angstrom
7.1808 0.0099 0.0088
3.5823 6.2210 0.0140
3.5798 2.0685 6.5611



Tell me which of them is the most stable. Sure, it is i.